Computed, not measured: a relaxed structure of YZrSe2 at the PBE level of DFT.

abc: 3.829 3.829 6.149
angles: 90.00 90.00 90.00
Space group P4mm (No. 99)
Unique sites:
Y 0.000 0.000 0.000 x1
Zr 0.500 0.500 0.347 x1
Se 0.000 0.000 0.479 x1
Se 0.500 0.500 0.875 x1

Calculated values
The electronic total energy is -6.9119 eV/atom. For the formation energy without anion corrections, the calculation gives -1.42 eV/atom. For the total magnetization, the calculation gives 0.00 μB/f.u. Its polymorph energy (0 for the lowest one) is 0.0396 eV/atom.